HfWSeN2 (PBE, optimized geometry); E_tot = -8.39 eV/atom; mass density = 9.91 Mg/m³; space-group type = No. 123; formation energy (no corrections) = 214 meV per atom; total magnetic moment = 0.0 Bohr magnetons per cell
1.0
-3.590 -1.115 1.141
-0.373 -2.147 -3.268
2.012 -4.015 2.408
Hf Se W N
1 1 1 2
direct
0.500 0.500 0.500 Hf
0.000 0.000 0.500 Se
0.000 0.000 0.000 W
0.000 0.500 0.000 N
0.500 0.000 0.000 N

Y2Zn3Cu12Pt (PBE, optimized geometry); E_tot = -3.97 eV/atom; formation enthalpy at 0 K = 0.03 eV per atom; mass density = 8.04 Mg/m³; space-group type = No. 166; total magnetic moment = 0.0 Bohr magnetons per cell
1.0
1.017 6.409 0.684
-6.333 1.568 0.026
-0.556 -0.039 6.501
Y Zn Cu Pt
2 3 12 1
direct
0.716 0.716 0.716 Y
0.284 0.284 0.284 Y
0.500 0.000 0.000 Zn
0.000 0.500 0.000 Zn
0.000 0.000 0.500 Zn
0.421 0.421 0.858 Cu
0.799 0.799 0.285 Cu
0.285 0.799 0.799 Cu
0.858 0.421 0.421 Cu
0.799 0.285 0.799 Cu
0.421 0.858 0.421 Cu
0.579 0.579 0.142 Cu
0.201 0.201 0.715 Cu
0.715 0.201 0.201 Cu
0.142 0.579 0.579 Cu
0.201 0.715 0.201 Cu
0.579 0.142 0.579 Cu
0.000 0.000 0.000 Pt

Cs2TlCdHg (PBE, optimized geometry); E_tot = -1.01 eV/atom; formation enthalpy at 0 K = 0.05 eV per atom; mass density = 4.22 Mg/m³; space-group type = No. 123; total magnetic moment = 0.0 Bohr magnetons per cell
1.0
7.352 0.000 0.000
0.000 7.352 0.000
0.000 0.000 5.706
Cs Tl Hg Cd
2 1 1 1
direct
0.000 0.500 0.000 Cs
0.500 0.000 0.000 Cs
0.000 0.000 0.500 Tl
0.000 0.000 0.000 Hg
0.500 0.500 0.500 Cd

Li2NbTlP (PBE, optimized geometry); E_tot = -3.73 eV/atom; formation enthalpy at 0 K = 0.60 eV per atom; mass density = 5.19 Mg/m³; space-group type = No. 123; total magnetic moment = 3.1 Bohr magnetons per cell
1.0
-3.227 -1.892 2.354
-2.045 -2.321 -4.669
2.553 -3.550 0.647
P Tl Nb Li
1 1 1 2
direct
0.000 0.000 0.000 P
0.000 0.500 0.000 Tl
0.500 0.500 0.500 Nb
0.000 0.000 0.500 Li
0.500 0.000 0.000 Li

DyTh2Rh2 (PBE, optimized geometry); E_tot = -7.44 eV/atom; formation enthalpy at 0 K = -0.61 eV per atom; mass density = 11.36 Mg/m³; space-group type = No. 71; total magnetic moment = 0.0 Bohr magnetons per cell
1.0
-3.999 -3.855 -1.865
4.857 -2.978 -1.371
-0.600 3.015 5.399
Dy Th Rh
1 2 2
direct
0.000 0.000 0.000 Dy
0.195 0.805 0.500 Th
0.805 0.195 0.500 Th
0.500 0.500 0.228 Rh
0.500 0.500 0.772 Rh

KRbIN2 (PBE, optimized geometry); E_tot = -2.97 eV/atom; mass density = 2.02 Mg/m³; space-group type = No. 123; formation energy (no corrections) = 1080 meV per atom; total magnetic moment = 5.0 Bohr magnetons per cell
1.0
-3.102 -2.934 3.580
4.619 -1.669 2.634
-0.417 5.884 4.461
I K Rb N
1 1 1 2
direct
0.000 0.000 0.500 I
0.500 0.500 0.500 K
0.000 0.000 0.000 Rb
0.000 0.500 0.000 N
0.500 0.000 0.000 N

InTcBr2 (PBE, optimized geometry); E_tot = -3.73 eV/atom; mass density = 6.07 Mg/m³; space-group type = No. 123; formation energy (no corrections) = 378 meV per atom; total magnetic moment = 4.1 Bohr magnetons per cell
1.0
3.476 0.000 0.000
0.000 3.475 0.000
0.000 0.000 8.438
Tc Br In
1 2 1
direct
0.500 0.500 0.750 Tc
0.000 0.000 0.954 Br
0.000 0.000 0.546 Br
0.500 0.500 0.250 In

Dy2H6PdRh2 (PBE, optimized geometry); E_tot = -4.89 eV/atom; mass density = 9.26 Mg/m³; space-group type = No. 166; total magnetic moment = 0.0 Bohr magnetons per cell
1.0
5.040 0.000 0.000
2.520 4.365 0.000
2.520 1.455 5.246
Dy H Pd Rh
2 6 1 2
direct
0.773 0.773 0.682 Dy
0.227 0.227 0.318 Dy
0.762 0.762 0.283 H
0.194 0.762 0.283 H
0.762 0.194 0.283 H
0.238 0.806 0.717 H
0.806 0.238 0.717 H
0.238 0.238 0.717 H
0.000 0.000 0.000 Pd
0.400 0.400 0.801 Rh
0.600 0.600 0.199 Rh